The following is a PBE calculation of a geometry-optimized CsErZnO3 structure, from the Alexandria database.

Properties
Density of states at the Fermi level = 0.0 states/eV per cell
E_form (uncorrected) = -2235 meV/atom

Lattice parameters (Å, degrees): 3.5573 8.1629 8.5366 110.24 90.00 90.00
Positions (direct):
O1 0.2500 0.8344 0.4410
O2 0.2500 0.1576 0.8593
O3 0.7500 0.8424 0.1407
O4 0.7500 0.1656 0.5590
O5 0.2500 0.5198 0.8687
O6 0.7500 0.4802 0.1313
Er1 0.2500 0.6591 0.1383
Er2 0.7500 0.3409 0.8617
Cs1 0.2500 0.2183 0.2311
Cs2 0.7500 0.7817 0.7689
Zn1 0.2500 0.0768 0.6188
Zn2 0.7500 0.9232 0.3812

***

The following is a PBE calculation of a geometry-optimized CsEr2Zr2O7 structure, from the Alexandria database.

Properties
Density of states at the Fermi level = 2.3 states/eV per cell
E_form (uncorrected) = -2998 meV/atom

Lattice parameters (Å, degrees): 4.3796 4.5046 9.7727 103.32 102.96 90.00
Positions (direct):
O1 0.5000 0.5002 0.0000
O2 0.7334 0.7334 0.4669
O3 0.2666 0.2664 0.5331
O4 0.8695 0.3691 0.7386
O5 0.3767 0.8761 0.7534
O6 0.6233 0.1226 0.2466
O7 0.1305 0.6306 0.2614
Cs1 0.0000 0.0003 0.0000
Zr1 0.3894 0.3902 0.7793
Zr2 0.6106 0.6109 0.2207
Er1 0.7434 0.2434 0.4869
Er2 0.2566 0.7565 0.5131

***

The following is a PBE calculation of a geometry-optimized CsErP2Pt4 structure, from the Alexandria database.

Properties
Density of states at the Fermi level = 4.2 states/eV per cell
Energy of formation from the pure elements = -6.1 eV per formula unit

Lattice parameters (Å, degrees): 4.0427 4.0427 11.3100 90.00 90.00 90.00
Positions (direct):
Pt1 0.5000 0.0000 0.1867
Pt2 0.0000 0.5000 0.1867
Pt3 0.5000 0.0000 0.8133
Pt4 0.0000 0.5000 0.8133
P1 0.5000 0.5000 0.7081
P2 0.5000 0.5000 0.2919
Cs1 0.0000 0.0000 0.5000
Er1 0.0000 0.0000 0.0000

***

The following is a PBE calculation of a geometry-optimized CsErPaS4 structure, from the Alexandria database.

Properties
Density of states at the Fermi level = 10.1 states/eV per cell
E_form (uncorrected) = -1624 meV/atom

Lattice parameters (Å, degrees): 8.6819 8.5625 8.5767 120.05 90.00 120.46
Each line ends with the local moment (μB).
Positions (direct):
Cs1 0.1207 0.2414 0.8707  0.00
Cs2 0.8793 0.7586 0.1293  0.00
S1 0.6745 0.9508 0.7254  -0.01
S2 0.7237 0.0492 0.2746  -0.01
S3 0.2713 0.5426 0.3220  -0.02
S4 0.2713 0.5426 0.7206  -0.02
S5 0.7287 0.4574 0.2794  -0.02
S6 0.3255 0.0492 0.2746  -0.01
S7 0.7287 0.4574 0.6780  -0.02
S8 0.2763 0.9508 0.7254  -0.01
Er1 0.5000 0.0000 0.5000  0.02
Er2 0.5000 0.0000 0.0000  0.02
Pa1 0.5000 0.5000 0.5000  0.99
Pa2 0.0000 0.5000 0.5000  0.99

***

The following is a PBE calculation of a geometry-optimized Cs3Er3PaS8 structure, from the Alexandria database.

Properties
Density of states at the Fermi level = 3.5 states/eV per cell
E_form (uncorrected) = -1813 meV/atom

Lattice parameters (Å, degrees): 8.0852 8.0852 9.4320 115.38 90.00 120.00
Each line ends with the local moment (μB).
Positions (direct):
Er1 0.5000 0.0000 0.5000  0.01
Er2 0.5000 0.5000 0.5000  0.01
Er3 0.0000 0.5000 0.5000  0.01
S1 0.2253 0.9520 0.6772  -0.01
S2 0.2733 0.0480 0.3228  -0.01
S3 0.7747 0.5493 0.3228  -0.01
S4 0.2741 0.5482 0.3223  0.00
S5 0.7267 0.9520 0.6772  -0.01
S6 0.2253 0.4507 0.6772  -0.01
S7 0.7747 0.0480 0.3228  -0.01
S8 0.7259 0.4518 0.6777  0.00
Cs1 0.5000 0.5000 0.0000  0.00
Cs2 0.0000 0.5000 0.0000  0.00
Cs3 0.0000 0.0000 0.0000  0.00
Pa1 0.0000 0.0000 0.5000  0.94

***

The following is a PBE calculation of a geometry-optimized Cs2ErPaS4 structure, from the Alexandria database.

Properties
Density of states at the Fermi level = 7.2 states/eV per cell
E_form (uncorrected) = -1610 meV/atom

Lattice parameters (Å, degrees): 4.0562 7.0781 8.4416 105.97 90.00 90.00
Each line ends with the local moment (μB).
Positions (direct):
S1 0.0000 0.2690 0.8159  -0.03
S2 0.5000 0.2265 0.1812  -0.01
S3 0.0000 0.7310 0.1841  -0.03
S4 0.5000 0.7735 0.8188  -0.01
Pa1 0.5000 0.5000 0.0000  1.27
Cs1 0.0000 0.5000 0.5000  0.01
Cs2 0.5000 0.0000 0.5000  0.01
Er1 0.0000 0.0000 0.0000  0.11

***

The following is a PBE calculation of a geometry-optimized Cs3Er3PaSe8 structure, from the Alexandria database.

Properties
Density of states at the Fermi level = 3.4 states/eV per cell
E_form (uncorrected) = -1672 meV/atom

Lattice parameters (Å, degrees): 8.3954 8.3951 9.8029 115.37 90.00 120.00
Each line ends with the local moment (μB).
Positions (direct):
Se1 0.7274 0.4548 0.6821  0.00
Se2 0.2280 0.4560 0.6825  -0.01
Se3 0.2280 0.9546 0.6826  -0.01
Se4 0.2726 0.5452 0.3179  0.00
Se5 0.2734 0.0454 0.3174  -0.01
Se6 0.7266 0.9546 0.6826  -0.01
Se7 0.7720 0.5440 0.3175  -0.01
Se8 0.7720 0.0454 0.3174  -0.01
Er1 0.5000 0.5000 0.5000  0.00
Er2 0.0000 0.5000 0.5000  0.00
Er3 0.5000 0.0000 0.5000  0.00
Cs1 0.5000 0.5000 0.0000  0.00
Cs2 0.0000 0.5000 0.0000  0.00
Cs3 0.0000 0.0000 0.0000  0.00
Pa1 0.0000 0.0000 0.5000  1.01

***

The following is a PBE calculation of a geometry-optimized Cs2Er2PaSe6 structure, from the Alexandria database.

Properties
Density of states at the Fermi level = 1.8 states/eV per cell
E_form (uncorrected) = -1660 meV/atom

Lattice parameters (Å, degrees): 7.2393 7.2393 8.9377 97.84 97.84 120.02
Each line ends with the local moment (μB).
Positions (direct):
Se1 0.6056 0.9388 0.3182  0.01
Se2 0.9388 0.6056 0.3182  0.01
Se3 0.2725 0.2725 0.3184  0.01
Se4 0.3944 0.0612 0.6818  0.01
Se5 0.0612 0.3944 0.6818  0.01
Se6 0.7275 0.7275 0.6816  0.01
Er1 0.3332 0.6668 0.5000  -0.02
Er2 0.6668 0.3332 0.5000  -0.02
Pa1 0.0000 0.0000 0.5000  -1.02
Cs1 0.8327 0.1673 0.0000  0.00
Cs2 0.1673 0.8327 0.0000  0.00

***

Number 1: total DFT energy (no corrections) -5.8290 eV per atom. Number 2: total DFT energy (no corrections) -8.1470 eV per atom. Number 3: total DFT energy (no corrections) -5.8141 eV per atom. Number 4: total DFT energy (no corrections) -6.1124 eV per atom. Number 5: total DFT energy (no corrections) -5.7305 eV per atom. Number 6: total DFT energy (no corrections) -5.6443 eV per atom. Number 7: total DFT energy (no corrections) -5.2469 eV per atom. Number 8: total DFT energy (no corrections) -5.4083 eV per atom.